# 1
Sm2CdGe2: PBEsol geometry, meta-GGA SCAN.

Results
The energy is -32.328 eV/atom. As for the space group: No. 127. The value obtained for the energy relative to the elements is -0.833 eV per atom.

The structure in POSCAR format:
```
Sm2CdGe2
1.0
7.308 0.000 0.000
0.000 7.308 0.000
0.000 0.000 4.232
Sm Cd Ge
4 2 4
direct
0.178 0.322 0.000 Sm
0.322 0.822 0.000 Sm
0.678 0.178 0.000 Sm
0.822 0.678 0.000 Sm
0.000 0.000 0.500 Cd
0.500 0.500 0.500 Cd
0.121 0.621 0.500 Ge
0.379 0.121 0.500 Ge
0.621 0.879 0.500 Ge
0.879 0.379 0.500 Ge
```

# 2
SrCdGe: PBEsol geometry, meta-GGA SCAN.

Results
The energy is -24.480 eV/atom. As for the space group: No. 62. The value obtained for the energy relative to the elements is -0.554 eV per atom.

The structure in POSCAR format:
```
SrCdGe
1.0
7.721 0.000 0.000
0.000 4.628 0.000
0.000 0.000 8.279
Sr Cd Ge
4 4 4
direct
0.010 0.250 0.193 Sr
0.490 0.750 0.693 Sr
0.510 0.250 0.307 Sr
0.990 0.750 0.807 Sr
0.162 0.250 0.573 Cd
0.338 0.750 0.073 Cd
0.662 0.250 0.927 Cd
0.838 0.750 0.427 Cd
0.217 0.750 0.395 Ge
0.283 0.250 0.895 Ge
0.717 0.750 0.105 Ge
0.783 0.250 0.605 Ge
```

# 3
CdTcGe3: PBEsol geometry, meta-GGA SCAN.

Results
The energy is -24.261 eV/atom. As for the space group: No. 221. The value obtained for the energy relative to the elements is 0.287 eV per atom.

The structure in POSCAR format:
```
CdTcGe3
1.0
4.789 0.000 0.000
0.000 4.789 0.000
0.000 0.000 4.789
Cd Tc Ge
1 1 3
direct
0.000 0.000 0.000 Cd
0.500 0.500 0.500 Tc
0.000 0.500 0.500 Ge
0.500 0.000 0.500 Ge
0.500 0.500 0.000 Ge
```

> Which of these has the lowest energy?

Sm2CdGe2

What did the third record say?
CdTcGe3: PBEsol geometry, meta-GGA SCAN.

Results
The energy is -24.261 eV/atom. As for the space group: No. 221. The value obtained for the energy relative to the elements is 0.287 eV per atom.

The structure in POSCAR format:
```
CdTcGe3
1.0
4.789 0.000 0.000
0.000 4.789 0.000
0.000 0.000 4.789
Cd Tc Ge
1 1 3
direct
0.000 0.000 0.000 Cd
0.500 0.500 0.500 Tc
0.000 0.500 0.500 Ge
0.500 0.000 0.500 Ge
0.500 0.500 0.000 Ge
```

> What is the energy in the first record?

-32.328 eV/atom